Record 1
{
  "formula": "RbVCuP2",
  "functional": "PBE",
  "state": "optimized geometry",
  "formation_energy_ev_per_atom": 2.413,
  "dos_ef_per_ev_cell": 5.55,
  "energy_ev_per_atom": -2.59,
  "magmom_total_mub_per_cell": 3.30,
  "cell": [[5.4011, 0.0000, 0.0000], [0.0000, 5.4011, 0.0000], [0.0000, 0.0000, 5.0520]],
  "species": ["Rb", "V", "Cu", "P", "P"],
  "fractional_positions": [[0.0000, 0.0000, 0.0000], [0.0000, 0.0000, 0.5000], [0.5000, 0.5000, 0.5000], [0.0000, 0.5000, 0.0000], [0.5000, 0.0000, 0.0000]]
}



Record 2
{
  "formula": "Sm3GaGe6Pd2",
  "functional": "PBE",
  "state": "optimized geometry",
  "formation_energy_ev_per_atom": -0.406,
  "dos_ef_per_ev_cell": 2.77,
  "energy_ev_per_atom": -5.01,
  "magmom_total_mub_per_cell": 0.00,
  "cell": [[5.8745, 0.0000, 0.0000], [-2.9372, 5.0874, 0.0000], [0.0000, 0.0000, 8.5331]],
  "species": ["Sm", "Sm", "Sm", "Ga", "Ge", "Ge", "Ge", "Ge", "Ge", "Ge", "Pd", "Pd"],
  "fractional_positions": [[0.0000, 0.0000, 0.0000], [0.3333, 0.6667, 0.6010], [0.6667, 0.3333, 0.3990], [0.0000, 0.0000, 0.5000], [0.1851, 0.3702, 0.2673], [0.1851, 0.8149, 0.2673], [0.3702, 0.1851, 0.7327], [0.6298, 0.8149, 0.2673], [0.8149, 0.1851, 0.7327], [0.8149, 0.6298, 0.7327], [0.3333, 0.6667, 0.0125], [0.6667, 0.3333, 0.9875]]
}



Record 3
{
  "formula": "Sr2YPbN",
  "functional": "PBE",
  "state": "optimized geometry",
  "dos_ef_per_ev_cell": 0.84,
  "formation_energy_uncorrected_kj_per_mol_atoms": -74.4,
  "energy_ev_per_atom": -5.14,
  "magmom_total_mub_per_cell": 0.00,
  "cell": [[5.2611, 0.0000, 0.0000], [0.0000, 5.2611, 0.0000], [0.0000, 0.0000, 4.8466]],
  "species": ["Sr", "Sr", "Y", "Pb", "N"],
  "fractional_positions": [[0.0000, 0.5000, 0.0000], [0.5000, 0.0000, 0.0000], [0.0000, 0.0000, 0.5000], [0.5000, 0.5000, 0.5000], [0.0000, 0.0000, 0.0000]]
}



Record 4
{
  "formula": "PmSi12Pt4",
  "functional": "PBE",
  "state": "optimized geometry",
  "dos_ef_per_ev_cell": 11.04,
  "formation_energy_uncorrected_kj_per_mol_atoms": -43.1,
  "energy_ev_per_atom": -5.98,
  "magmom_total_mub_per_cell": 0.00,
  "cell": [[-4.1936, 4.1936, 4.1936], [4.1936, -4.1936, 4.1936], [4.1936, 4.1936, -4.1936]],
  "species": ["Pm", "Si", "Si", "Si", "Si", "Si", "Si", "Si", "Si", "Si", "Si", "Si", "Si", "Pt", "Pt", "Pt", "Pt"],
  "fractional_positions": [[0.0000, 0.0000, 0.0000], [0.1482, 0.3586, 0.5068], [0.1482, 0.6414, 0.7897], [0.2103, 0.8518, 0.3586], [0.3586, 0.2103, 0.8518], [0.3586, 0.5068, 0.1482], [0.4932, 0.8518, 0.6414], [0.5068, 0.1482, 0.3586], [0.6414, 0.4932, 0.8518], [0.6414, 0.7897, 0.1482], [0.7897, 0.1482, 0.6414], [0.8518, 0.3586, 0.2103], [0.8518, 0.6414, 0.4932], [0.0000, 0.0000, 0.5000], [0.0000, 0.5000, 0.0000], [0.5000, 0.0000, 0.0000], [0.5000, 0.5000, 0.5000]]
}



Record 5
{
  "formula": "YTc2Ni2",
  "functional": "PBE",
  "state": "optimized geometry",
  "formation_energy_ev_per_atom": -0.046,
  "dos_ef_per_ev_cell": 6.12,
  "energy_ev_per_atom": -7.80,
  "magmom_total_mub_per_cell": 0.00,
  "cell": [[-1.8718, 1.8718, 5.7414], [1.8718, -1.8718, 5.7414], [1.8718, 1.8718, -5.7414]],
  "species": ["Y", "Tc", "Tc", "Ni", "Ni"],
  "fractional_positions": [[0.0000, 0.0000, 0.0000], [0.2500, 0.7500, 0.5000], [0.7500, 0.2500, 0.5000], [0.3978, 0.3978, 0.0000], [0.6022, 0.6022, 0.0000]]
}



Record 6
{
  "formula": "K3Sm3GeS8",
  "functional": "PBE",
  "state": "optimized geometry",
  "dos_ef_per_ev_cell": 0.86,
  "formation_energy_uncorrected_kj_per_mol_atoms": -141.4,
  "energy_ev_per_atom": -5.14,
  "magmom_total_mub_per_cell": 0.00,
  "cell": [[4.0236, 2.3230, 7.5298], [-4.0236, 2.3230, 7.5298], [0.0000, -4.6460, 7.5298]],
  "species": ["K", "K", "K", "Sm", "Sm", "Sm", "Ge", "S", "S", "S", "S", "S", "S", "S", "S"],
  "fractional_positions": [[0.0000, 0.5000, 0.5000], [0.5000, 0.0000, 0.5000], [0.5000, 0.5000, 0.0000], [0.0000, 0.0000, 0.5000], [0.0000, 0.5000, 0.0000], [0.5000, 0.0000, 0.0000], [0.5000, 0.5000, 0.5000], [0.2350, 0.2350, 0.2350], [0.2651, 0.7118, 0.7118], [0.2882, 0.2882, 0.7349], [0.2882, 0.7349, 0.2882], [0.7118, 0.2651, 0.7118], [0.7118, 0.7118, 0.2651], [0.7349, 0.2882, 0.2882], [0.7650, 0.7650, 0.7650]]
}



Record 7
{
  "formula": "Sr3SbI2",
  "functional": "PBE",
  "state": "optimized geometry",
  "dos_ef_per_ev_cell": 2.30,
  "formation_energy_uncorrected_kj_per_mol_atoms": -121.6,
  "energy_ev_per_atom": -3.31,
  "magmom_total_mub_per_cell": 0.00,
  "cell": [[-2.4188, 3.3410, 7.1767], [2.4188, -3.3410, 7.1767], [2.4188, 3.3410, -7.1767]],
  "species": ["Sr", "Sr", "Sr", "Sb", "I", "I"],
  "fractional_positions": [[0.0000, 0.0000, 0.0000], [0.3513, 0.3513, 0.0000], [0.6487, 0.6487, 0.0000], [0.5000, 0.0000, 0.5000], [0.1730, 0.6730, 0.5000], [0.8270, 0.3270, 0.5000]]
}



Record 8
{
  "formula": "Ho3Tm2Mg",
  "functional": "PBE",
  "state": "optimized geometry",
  "formation_energy_ev_per_atom": -0.008,
  "dos_ef_per_ev_cell": 8.46,
  "energy_ev_per_atom": -4.05,
  "magmom_total_mub_per_cell": 0.00,
  "cell": [[3.5162, 0.0000, 0.0000], [0.0000, 3.5162, 0.0000], [0.0000, 0.0000, 14.2986]],
  "species": ["Ho", "Ho", "Ho", "Tm", "Tm", "Mg"],
  "fractional_positions": [[0.0000, 0.0000, 0.0000], [0.0000, 0.0000, 0.3433], [0.0000, 0.0000, 0.6567], [0.5000, 0.5000, 0.1732], [0.5000, 0.5000, 0.8268], [0.5000, 0.5000, 0.5000]]
}



Record 9
{
  "formula": "YAg7Pd4",
  "functional": "PBE",
  "state": "optimized geometry",
  "formation_energy_ev_per_atom": 0.096,
  "dos_ef_per_ev_cell": 5.06,
  "energy_ev_per_atom": -3.84,
  "magmom_total_mub_per_cell": 0.00,
  "cell": [[5.4272, -2.5605, 0.0000], [5.4272, 2.5605, 0.0000], [-5.3083, 0.0000, 8.3625]],
  "species": ["Y", "Ag", "Ag", "Ag", "Ag", "Ag", "Ag", "Ag", "Pd", "Pd", "Pd", "Pd"],
  "fractional_positions": [[0.0000, 0.0000, 0.0000], [0.0462, 0.0462, 0.3787], [0.2134, 0.2134, 0.9074], [0.3410, 0.3410, 0.4390], [0.5000, 0.5000, 0.0000], [0.6590, 0.6590, 0.5610], [0.7866, 0.7866, 0.0926], [0.9538, 0.9538, 0.6213], [0.2878, 0.2878, 0.6842], [0.4255, 0.4255, 0.2243], [0.5745, 0.5745, 0.7757], [0.7122, 0.7122, 0.3158]]
}



Record 10
{
  "formula": "PuHfZr2",
  "functional": "PBE",
  "state": "optimized geometry",
  "formation_energy_ev_per_atom": 0.079,
  "dos_ef_per_ev_cell": 7.55,
  "energy_ev_per_atom": -10.27,
  "magmom_total_mub_per_cell": 5.63,
  "cell": [[3.1976, 0.0000, 0.0000], [0.0000, 3.1976, 0.0000], [0.0000, 0.0000, 9.1528]],
  "species": ["Pu", "Hf", "Zr", "Zr"],
  "fractional_positions": [[0.0000, 0.0000, 0.0000], [0.0000, 0.0000, 0.5000], [0.5000, 0.5000, 0.2579], [0.5000, 0.5000, 0.7421]]
}



Record 11
{
  "formula": "SrTm4Se6",
  "functional": "PBE",
  "state": "optimized geometry",
  "dos_ef_per_ev_cell": 6.73,
  "formation_energy_uncorrected_kj_per_mol_atoms": -177.7,
  "energy_ev_per_atom": -5.52,
  "magmom_total_mub_per_cell": 0.00,
  "cell": [[2.0333, -6.6499, 0.0000], [2.0333, 6.6499, 0.0000], [0.0000, 0.0000, 20.8629]],
  "species": ["Sr", "Sr", "Tm", "Tm", "Tm", "Tm", "Tm", "Tm", "Tm", "Tm", "Se", "Se", "Se", "Se", "Se", "Se", "Se", "Se", "Se", "Se", "Se", "Se"],
  "fractional_positions": [[0.1581, 0.8419, 0.7500], [0.8419, 0.1581, 0.2500], [0.0936, 0.9064, 0.1271], [0.0936, 0.9064, 0.3729], [0.3615, 0.6385, 0.0390], [0.3615, 0.6385, 0.4610], [0.6385, 0.3615, 0.5390], [0.6385, 0.3615, 0.9610], [0.9064, 0.0936, 0.6271], [0.9064, 0.0936, 0.8729], [0.0000, 0.0000, 0.0000], [0.0000, 0.0000, 0.5000], [0.1715, 0.8285, 0.2500], [0.2686, 0.7314, 0.5865], [0.2686, 0.7314, 0.9135], [0.4566, 0.5434, 0.1593], [0.4566, 0.5434, 0.3407], [0.5434, 0.4566, 0.6593], [0.5434, 0.4566, 0.8407], [0.7314, 0.2686, 0.0865], [0.7314, 0.2686, 0.4135], [0.8285, 0.1715, 0.7500]]
}



Record 12
{
  "formula": "NaAsHBr2",
  "functional": "PBE",
  "state": "optimized geometry",
  "dos_ef_per_ev_cell": 1.37,
  "energy_ev_per_atom": -2.41,
  "magmom_total_mub_per_cell": 1.00,
  "cell": [[5.4075, 0.0000, 0.0000], [0.0000, 5.4075, 0.0000], [0.0000, 0.0000, 5.6971]],
  "species": ["Na", "As", "H", "Br", "Br"],
  "fractional_positions": [[0.0000, 0.0000, 0.0000], [0.0000, 0.0000, 0.5000], [0.5000, 0.5000, 0.0000], [0.0000, 0.5000, 0.5000], [0.5000, 0.0000, 0.5000]]
}